1.
Material: NaPrPbAu
Method: DFT, GGA-PBE
State: relaxed

The structure belongs to space group F-43m (No. 216); the cell edges are 7.512, 7.512 and 7.512 Å and the angles 90.00°, 90.00° and 90.00°. Symmetry generates all atoms from Na at (0.000, 0.000, 0.000), Pr at (0.000, 0.000, 0.500), Pb at (0.250, 0.250, 0.750) and Au at (0.250, 0.250, 0.250).

The value obtained for the total energy is -59.5 eV per cell. As for the magnetic moment: 0.00 μB per formula unit.



2.
Material: NaPtPbAu
Method: DFT, GGA-PBE
State: relaxed

The structure belongs to space group F-43m (No. 216); the cell edges are 6.836, 6.836 and 6.836 Å and the angles 90.00°, 90.00° and 90.00°. Symmetry generates all atoms from Na at (0.000, 0.000, 0.000), Pt at (0.000, 0.000, 0.500), Pb at (0.250, 0.250, 0.250) and Au at (0.250, 0.250, 0.750).

The value obtained for the total energy is -60.1 eV per cell. As for the magnetic moment: 0.00 μB per formula unit.